No. 1
Entry from Alexandria: LiHgSb after structural relaxation (PBE).

The space group is Imm2 (No. 44) and the conventional cell measures 3.277, 4.210 and 9.953 Å, with angles of 90.00, 90.00 and 90.00 degrees. The inequivalent atoms are Li at (0.000, 0.000, 0.000), Hg at (0.000, 0.000, 0.346) and Sb at (0.000, 0.000, 0.657).

The calculation puts the formation energy from raw total energies at -0.1792 eV per atom. The density is 7.96 Mg/m³.

=====

No. 2
Entry from Alexandria: LiHg2Sb after structural relaxation (PBE).

The space group is Imm2 (No. 44) and the conventional cell measures 4.429, 4.431 and 9.521 Å, with angles of 90.00, 90.00 and 90.00 degrees. The inequivalent atoms are Li at (0.000, 0.000, 0.000), Hg at (0.000, 0.000, 0.499), Hg at (0.000, 0.500, 0.250) and Sb at (0.000, 0.500, 0.749).

The calculation puts the formation energy from raw total energies at -0.1257 eV per atom. The density is 9.42 Mg/m³.

=====

No. 3
Entry from Alexandria: Li6Hg5Sb after structural relaxation (PBE).

The space group is C2/m (No. 12) and the conventional cell measures 14.875, 7.028 and 4.605 Å, with angles of 90.00, 107.94 and 90.00 degrees. The inequivalent atoms are Li at (0.000, 0.246, 0.000), Li at (0.166, 0.250, 0.666), Hg at (0.000, 0.500, 0.500), Hg at (0.163, 0.500, 0.163), Hg at (0.173, 0.000, 0.172) and Sb at (0.000, 0.000, 0.500).

The calculation puts the formation energy from raw total energies at -0.3914 eV per atom. The density is 8.46 Mg/m³.

=====

No. 4
Entry from Alexandria: Li6HgSb2 after structural relaxation (PBE).

The space group is C2/m (No. 12) and the conventional cell measures 8.273, 4.773 and 8.938 Å, with angles of 90.00, 90.15 and 90.00 degrees. The inequivalent atoms are Li at (0.001, 0.000, 0.306), Li at (0.166, 0.500, 0.583), Li at (0.166, 0.500, 0.899), Hg at (0.000, 0.000, 0.000) and Sb at (0.168, 0.500, 0.267).

The calculation puts the formation energy from raw total energies at -0.5155 eV per atom. The energy above the most stable polymorph in this dataset comes out at 0 meV/atom. The density is 4.57 Mg/m³.